1.
Ca3InGa2Ag6, optimized geometry, DFT GGA-PBE; formation energy = -176 meV per atom; N(E_F) = 0.362 states/eV per atom; DFT total energy = -34.01 eV/cell; spin magnetization = 0.0 μB per cell
1.0
5.8504 0.0000 0.0000
-2.9252 5.0666 0.0000
0.0000 0.0000 9.2785
Ca In Ga Ag
3 1 2 6
direct
0.0000 0.0000 0.0000
0.3333 0.6667 0.6017
0.6667 0.3333 0.3983
0.0000 0.0000 0.5000
0.3333 0.6667 0.9849
0.6667 0.3333 0.0151
0.1741 0.3482 0.2599
0.1741 0.8259 0.2599
0.3482 0.1741 0.7401
0.6518 0.8259 0.2599
0.8259 0.1741 0.7401
0.8259 0.6518 0.7401

---

2.
Ca3InGa2Ag9, optimized geometry, DFT GGA-PBE; formation energy = -17 meV per atom; N(E_F) = 0.352 states/eV per atom; DFT total energy = -40.71 eV/cell; spin magnetization = 0.0 μB per cell
1.0
8.1232 0.0000 0.0000
-4.0616 7.0349 0.0000
0.0000 0.0000 6.5779
Ca In Ga Ag
3 1 2 9
direct
0.0000 0.0000 0.0000
0.3333 0.6667 0.6619
0.6667 0.3333 0.3381
0.0000 0.0000 0.5000
0.3333 0.6667 0.1478
0.6667 0.3333 0.8522
0.0000 0.5000 0.0000
0.1727 0.3455 0.3220
0.1727 0.8273 0.3220
0.3455 0.1727 0.6780
0.5000 0.0000 0.0000
0.5000 0.5000 0.0000
0.6545 0.8273 0.3220
0.8273 0.1727 0.6780
0.8273 0.6545 0.6780

---

3.
Ca2InGa3Ag4, optimized geometry, DFT GGA-PBE; formation energy = -269 meV per atom; N(E_F) = 0.493 states/eV per atom; DFT total energy = -29.92 eV/cell; spin magnetization = 0.0 μB per cell
1.0
4.2963 0.0000 0.0000
0.0000 4.2963 0.0000
0.0000 0.0000 11.9077
Ca In Ga Ag
2 1 3 4
direct
0.0000 0.5000 0.2397
0.5000 0.0000 0.7603
0.0000 0.0000 0.5000
0.0000 0.5000 0.8663
0.5000 0.0000 0.1337
0.5000 0.5000 0.5000
0.0000 0.0000 0.0000
0.0000 0.5000 0.6513
0.5000 0.0000 0.3487
0.5000 0.5000 0.0000

---

4.
Ca2GaAgIr, optimized geometry, DFT GGA-PBE; formation energy = 143 meV per atom; N(E_F) = 0.729 states/eV per atom; DFT total energy = -18.03 eV/cell; spin magnetization = 0.0 μB per cell
1.0
5.5840 0.0000 0.0000
0.0000 5.5840 0.0000
0.0000 0.0000 4.5419
Ca Ga Ag Ir
2 1 1 1
direct
0.0000 0.5000 0.0000
0.5000 0.0000 0.0000
0.0000 0.0000 0.0000
0.5000 0.5000 0.5000
0.0000 0.0000 0.5000

---

5.
KCa2GaAg, optimized geometry, DFT GGA-PBE; formation energy = 179 meV per atom; N(E_F) = 0.829 states/eV per atom; DFT total energy = -10.08 eV/cell; spin magnetization = 0.0 μB per cell
1.0
5.7719 0.0000 0.0000
0.0000 5.7719 0.0000
0.0000 0.0000 6.1619
K Ca Ga Ag
1 2 1 1
direct
0.0000 0.0000 0.0000
0.0000 0.5000 0.5000
0.5000 0.0000 0.5000
0.0000 0.0000 0.5000
0.5000 0.5000 0.0000

---

6.
Li2CaGaAg4, optimized geometry, DFT GGA-PBE; formation energy = -198 meV per atom; N(E_F) = 0.353 states/eV per atom; DFT total energy = -21.85 eV/cell; spin magnetization = 0.0 μB per cell
1.0
2.2874 1.3206 8.5676
-2.2874 1.3206 8.5676
0.0000 -2.6412 8.5676
Li Ca Ga Ag
2 1 1 4
direct
0.2375 0.2375 0.2375
0.7625 0.7625 0.7625
0.0000 0.0000 0.0000
0.5000 0.5000 0.5000
0.1293 0.1293 0.1293
0.3985 0.3985 0.3985
0.6015 0.6015 0.6015
0.8707 0.8707 0.8707

---

7.
LiCa2Ga3Ag4, optimized geometry, DFT GGA-PBE; formation energy = -286 meV per atom; N(E_F) = 0.436 states/eV per atom; DFT total energy = -29.27 eV/cell; spin magnetization = 0.0 μB per cell
1.0
4.2210 0.0000 0.0000
0.0000 4.2210 0.0000
0.0000 0.0000 11.8546
Li Ca Ga Ag
1 2 3 4
direct
0.0000 0.0000 0.0000
0.0000 0.5000 0.7393
0.5000 0.0000 0.2607
0.0000 0.5000 0.3600
0.5000 0.0000 0.6400
0.5000 0.5000 0.0000
0.0000 0.0000 0.5000
0.0000 0.5000 0.1413
0.5000 0.0000 0.8587
0.5000 0.5000 0.5000

---

8.
Li2CaGaAg, optimized geometry, DFT GGA-PBE; formation energy = -78 meV per atom; N(E_F) = 0.558 states/eV per atom; DFT total energy = -12.10 eV/cell; spin magnetization = 0.0 μB per cell
1.0
4.9012 0.0000 0.0000
0.0000 4.9012 0.0000
0.0000 0.0000 4.9099
Li Ca Ga Ag
2 1 1 1
direct
0.0000 0.5000 0.0000
0.5000 0.0000 0.0000
0.0000 0.0000 0.5000
0.5000 0.5000 0.5000
0.5000 0.5000 0.0000

---

Which value of formation energy does entry 1 give?
-176 meV per atom